(1)
The following is a PBE calculation of Ho2Al2Ga3 after structural relaxation, from Alexandria.

Cell and atoms, written as POSCAR:
```
Ho2Al2Ga3
1.0
2.091 -9.380 0.000
2.091 9.380 0.000
0.000 0.000 7.195
Ho Al Ga
4 4 6
Direct
0.055 0.945 0.750
0.154 0.846 0.250
0.846 0.154 0.750
0.945 0.055 0.250
0.321 0.679 0.065
0.321 0.679 0.435
0.679 0.321 0.565
0.679 0.321 0.935
0.228 0.772 0.750
0.443 0.557 0.577
0.443 0.557 0.923
0.557 0.443 0.077
0.557 0.443 0.423
0.772 0.228 0.250
```

Summary:
- DOS at the Fermi energy: 4.08 states/eV/f.u.
- DFT total energy: -4.145 eV/atom
- Relative energy among the computed polymorphs: 0.000 eV per atom
- Density: 7.0 Mg/m³
- Calculated formation energy: -3.30 eV/f.u.

(2)
The following is a PBE calculation of ScCdBr2 after structural relaxation, from Alexandria.

Cell and atoms, written as POSCAR:
```
ScCdBr2
1.0
3.700 0.000 0.000
-1.850 3.204 0.000
0.000 0.000 31.540
Sc Cd Br
3 3 6
Direct
0.000 0.000 0.000
0.333 0.667 0.667
0.667 0.333 0.333
0.000 0.000 0.500
0.333 0.667 0.167
0.667 0.333 0.833
0.000 0.000 0.279
0.000 0.000 0.721
0.333 0.667 0.387
0.333 0.667 0.946
0.667 0.333 0.054
0.667 0.333 0.613
```

Summary:
- DOS at the Fermi energy: 2.06 states/eV/f.u.
- DFT total energy: -3.654 eV/atom
- Relative energy among the computed polymorphs: 0.003 eV per atom
- Density: 4.2 Mg/m³
- Formation energy without anion corrections: -1006 meV per atom

Question: What is the density in the first record?
Answer: 7.0 Mg/m³